#w
## SbTe2AsC (PBE-GGA)

Data for a relaxed structure of SbTe2AsC.

Calculated values
Magnetic moment: 1.5 μB/cell
Density of states at the Fermi level: 6.02 states/eV/f.u.

a = 5.5160 Å, b = 5.5160 Å, c = 5.2744 Å
α = 90.00°, β = 90.00°, γ = 90.00°
Space group P4/mmm (No. 123)
Symmetry-distinct sites (fractional):
1 Sb 0.0000 0.0000 0.0000 x1
2 Te 0.0000 0.5000 0.5000 x2
3 As 0.0000 0.0000 0.5000 x1
4 C 0.5000 0.5000 0.0000 x1

=====

#x
## SbTe2AsC (PBE-GGA)

Data for a relaxed structure of SbTe2AsC.

Calculated values
Magnetic moment: 0.0 μB/cell
Density of states at the Fermi level: 2.87 states/eV/f.u.

a = 4.7869 Å, b = 4.7869 Å, c = 4.7916 Å
α = 90.00°, β = 90.00°, γ = 90.00°
Space group P4/mmm (No. 123)
Symmetry-distinct sites (fractional):
1 Sb 0.0000 0.0000 0.0000 x1
2 Te 0.0000 0.5000 0.5000 x2
3 As 0.5000 0.5000 0.0000 x1
4 C 0.0000 0.0000 0.5000 x1

=====

Which of them is the most stable, and which is the least stable? #x and #w, in that order.

=====

#w
## TiSbAsC2 (PBE-GGA)

Data for a relaxed structure of TiSbAsC2.

Calculated values
Magnetic moment: 0.0 μB/cell
Density of states at the Fermi level: 2.83 states/eV/f.u.

a = 4.0815 Å, b = 4.0815 Å, c = 5.2325 Å
α = 90.00°, β = 90.00°, γ = 90.00°
Space group P4/mmm (No. 123)
Symmetry-distinct sites (fractional):
1 Ti 0.0000 0.0000 0.0000 x1
2 Sb 0.5000 0.5000 0.5000 x1
3 As 0.0000 0.0000 0.5000 x1
4 C 0.0000 0.5000 0.0000 x2

=====

#x
## TiSbAsC2 (PBE-GGA)

Data for a relaxed structure of TiSbAsC2.

Calculated values
Magnetic moment: 0.0 μB/cell
Density of states at the Fermi level: 3.45 states/eV/f.u.

a = 3.9546 Å, b = 3.9546 Å, c = 5.5918 Å
α = 90.00°, β = 90.00°, γ = 90.00°
Space group P4/mmm (No. 123)
Symmetry-distinct sites (fractional):
1 Ti 0.0000 0.0000 0.0000 x1
2 Sb 0.5000 0.5000 0.0000 x1
3 As 0.5000 0.5000 0.5000 x1
4 C 0.0000 0.5000 0.5000 x2

=====

Which of them is the most stable, and which is the least stable? #w and #x, in that order.